Material: LuVCoTc
Method: DFT, PBE
State: relaxed

It has space group F-43m (No. 216), with a = 6.244 Å, b = 6.244 Å, c = 6.244 Å, α = 90.00°, β = 90.00° and γ = 90.00°. The asymmetric unit holds Lu at (0.000, 0.000, 0.000), V at (0.000, 0.000, 0.500), Co at (0.250, 0.250, 0.750) and Tc at (0.250, 0.250, 0.250).

The calculation puts the density of states at the Fermi level at 9.05 states/eV per cell. For the formation energy, the calculation gives -71 meV/atom.